Entry 1:
VASP calculation (GGA-PBE) on CaDyIr4 after structural relaxation.

## Properties
E_form = -0.643 eV/atom

Cell: 5.3609 5.3609 5.3609 Å, 60.00 60.00 60.00°
Fractional coordinates of all 6 atoms:
1 Ca 0.0000 0.0000 0.0000
2 Ir 0.6251 0.6251 0.1248
3 Ir 0.6251 0.1248 0.6251
4 Ir 0.6251 0.6251 0.6251
5 Ir 0.1248 0.6251 0.6251
6 Dy 0.2500 0.2500 0.2500

***

Entry 2:
VASP calculation (GGA-PBE) on La4Os2Br3 after structural relaxation.

## Properties
formation energy without anion corrections = -8.4 eV per formula unit

Cell: 4.2343 4.2343 18.3645 Å, 90.06 89.94 119.99°
Fractional coordinates of all 9 atoms:
1 La 0.3336 0.6664 0.8712
2 La 0.9991 0.0009 0.2984
3 La 0.0009 0.9991 0.7016
4 La 0.6664 0.3336 0.1288
5 Os 0.6676 0.3324 0.7924
6 Os 0.3324 0.6676 0.2076
7 Br 0.6653 0.3346 0.4034
8 Br 0.0000 0.0000 0.0000
9 Br 0.3347 0.6654 0.5966

***

Entry 3:
VASP calculation (GGA-PBE) on CaCdCl2 after structural relaxation.

## Properties
energy above the most stable polymorph in this dataset = 282 meV/atom
formation energy without anion corrections = -5.4 eV per formula unit

Cell: 8.7798 8.7798 8.7798 Å, 26.82 26.82 26.82°
Fractional coordinates of all 4 atoms:
1 Ca 0.5070 0.5070 0.5070
2 Cl 0.0210 0.0210 0.0210
3 Cl 0.2263 0.2263 0.2263
4 Cd 0.7457 0.7457 0.7457